Computed, not measured: a relaxed CuHgSCl2 crystal at the PBE level of DFT.

Symmetry: No. 123
Size of the total moment in μB/f.u.: 0.0
Crystal system: tetragonal
Calculated total energy in eV per atom: -2.420
Distance to the lowest polymorph of the same formula in eV/atom: 0.0000

Lattice parameters (Å, degrees): 4.528 4.528 5.197 90.00 90.00 90.00
Positions (direct):
Cu 0.000 0.000 0.000
Hg 0.500 0.500 0.500
S 0.000 0.000 0.500
Cl 0.000 0.500 0.000
Cl 0.500 0.000 0.000


Computed, not measured: a relaxed CuHgSCl2 crystal at the PBE level of DFT.

Symmetry: No. 123
Size of the total moment in μB/f.u.: 0.6
Crystal system: tetragonal
Calculated total energy in eV per atom: -1.945
Distance to the lowest polymorph of the same formula in eV/atom: 0.4743

Lattice parameters (Å, degrees): 5.243 5.243 5.003 90.00 90.00 90.00
Positions (direct):
Cu 0.000 0.000 0.000
Hg 0.500 0.500 0.500
S 0.500 0.500 0.000
Cl 0.000 0.500 0.500
Cl 0.500 0.000 0.500